1.
A plane-wave DFT calculation with GGA-PBE was carried out for a relaxed Li2ZrPd5 crystal.

Values from the calculation:
Crystal system = tetragonal
VASP energy = -5.29 eV/atom
Energy of formation = -0.50 eV/atom

Cell lengths 6.7050, 6.7050, 7.2032 Å; angles 117.74, 117.74, 90.00 degrees
With the nearest neighbours (Å) after each atom.
Atoms (fractional coordinates):
Pd 0.0060 0.5060 0.3061  3 Li 2.56-2.58, 2 Zr 2.77, 1 Pd 2.79
Pd 0.4940 0.6999 0.6939  3 Li 2.56-2.58, 2 Zr 2.77, 1 Pd 2.79
Pd 0.3001 0.8001 0.3061  3 Li 2.56-2.58, 2 Zr 2.77, 1 Pd 2.79
Pd 0.0000 0.0000 0.0000  4 Li 2.56, 2 Zr 2.71
Pd 0.5000 0.5000 0.0000  4 Li 2.56, 2 Zr 2.71
Pd 0.6999 0.1999 0.6939  3 Li 2.56-2.58, 2 Zr 2.77, 1 Pd 2.79
Pd 0.5060 0.3001 0.3061  3 Li 2.56-2.58, 2 Zr 2.77, 1 Pd 2.79
Pd 0.1999 0.9940 0.6939  3 Li 2.56-2.58, 2 Zr 2.77, 1 Pd 2.79
Pd 0.9940 0.4940 0.6939  3 Li 2.56-2.58, 2 Zr 2.77, 1 Pd 2.79
Pd 0.8001 0.0060 0.3061  3 Li 2.56-2.58, 2 Zr 2.77, 1 Pd 2.79
Li 0.1473 0.3527 0.0000  8 Pd 2.56-2.58, 1 Li 2.79
Li 0.3527 0.8527 0.0000  8 Pd 2.56-2.58, 1 Li 2.79
Li 0.6473 0.1473 0.0000  8 Pd 2.56-2.58, 1 Li 2.79
Li 0.8527 0.6473 0.0000  8 Pd 2.56-2.58, 1 Li 2.79
Zr 0.2500 0.2500 0.5000  10 Pd 2.71-2.77
Zr 0.7500 0.7500 0.5000  10 Pd 2.71-2.77

2.
A plane-wave DFT calculation with GGA-PBE was carried out for a relaxed Ba2Li9Tl6 crystal.

Values from the calculation:
Crystal system = hexagonal
VASP energy = -2.24 eV/atom
Energy of formation = -0.17 eV/atom

Cell lengths 6.3189, 6.3189, 13.7379 Å; angles 90.00, 90.00, 120.00 degrees
With the nearest neighbours (Å) after each atom.
Atoms (fractional coordinates):
Li 0.0000 0.5000 0.5000  4 Tl 2.93, 4 Li 3.16
Li 0.5000 0.0000 0.8386  4 Tl 2.87-2.98, 4 Li 3.16
Li 0.0000 0.5000 0.1614  4 Tl 2.87-2.98, 4 Li 3.16
Li 0.5000 0.0000 0.1614  4 Tl 2.87-2.98, 4 Li 3.16
Li 0.5000 0.5000 0.1614  4 Tl 2.87-2.98, 4 Li 3.16
Li 0.5000 0.5000 0.5000  4 Tl 2.93, 4 Li 3.16
Li 0.5000 0.0000 0.5000  4 Tl 2.93, 4 Li 3.16
Li 0.5000 0.5000 0.8386  4 Tl 2.87-2.98, 4 Li 3.16
Li 0.0000 0.5000 0.8386  4 Tl 2.87-2.98, 4 Li 3.16
Tl 0.6667 0.3333 0.3328  6 Li 2.93-2.98
Tl 0.6667 0.3333 0.0000  6 Li 2.87
Tl 0.3333 0.6667 0.6672  6 Li 2.93-2.98
Tl 0.3333 0.6667 0.3328  6 Li 2.93-2.98
Tl 0.3333 0.6667 0.0000  6 Li 2.87
Tl 0.6667 0.3333 0.6672  6 Li 2.93-2.98
Ba 0.0000 0.0000 0.6756  6 Tl 3.65, 12 Li 3.87-3.98
Ba 0.0000 0.0000 0.3244  6 Tl 3.65, 12 Li 3.87-3.98

3.
A plane-wave DFT calculation with GGA-PBE was carried out for a relaxed Cd2Cu2Hg crystal.

Values from the calculation:
Crystal system = tetragonal
VASP energy = -1.81 eV/atom
Energy of formation = 0.25 eV/atom

Cell lengths 4.0243, 4.0243, 6.7617 Å; angles 72.69, 72.69, 90.00 degrees
With the nearest neighbours (Å) after each atom.
Atoms (fractional coordinates):
Cd 0.7500 0.2500 0.5000  4 Cu 2.76, 4 Cd 2.85
Cd 0.2500 0.7500 0.5000  4 Cu 2.76, 4 Cd 2.85
Hg 0.0000 0.0000 0.0000  8 Cu 3.08
Cu 0.4036 0.4036 0.1929  1 Cu 2.37
Cu 0.5964 0.5964 0.8071  1 Cu 2.37

4.
A plane-wave DFT calculation with GGA-PBE was carried out for a relaxed Ho3Sc7Bi2 crystal.

Values from the calculation:
Crystal system = trigonal
VASP energy = -5.57 eV/atom
Energy of formation = -0.09 eV/atom

Cell lengths 6.3064, 6.3064, 10.3815 Å; angles 72.32, 72.32, 60.00 degrees
With the nearest neighbours (Å) after each atom.
Atoms (fractional coordinates):
Sc 0.4161 0.4161 0.2510  5 Sc 3.03-3.16, 2 Bi 3.04-3.05
Sc 0.0833 0.5839 0.7490  5 Sc 3.03-3.16, 2 Bi 3.04-3.05
Sc 0.5000 0.5000 0.5000  6 Sc 3.03
Sc 0.5839 0.5839 0.7490  5 Sc 3.03-3.16, 2 Bi 3.04-3.05
Sc 0.9167 0.4161 0.2510  5 Sc 3.03-3.16, 2 Bi 3.04-3.05
Sc 0.5839 0.0833 0.7490  5 Sc 3.03-3.16, 2 Bi 3.04-3.05
Sc 0.4161 0.9167 0.2510  5 Sc 3.03-3.16, 2 Bi 3.04-3.05
Bi 0.3335 0.3335 0.9996  6 Sc 3.04-3.05
Bi 0.6665 0.6665 0.0004  6 Sc 3.04-3.05
Ho 0.0000 0.0000 0.0000  6 Bi 3.64, 12 Sc 3.99
Ho 0.8583 0.8583 0.4250  12 Sc 3.58-3.71, 3 Ho 3.92
Ho 0.1417 0.1417 0.5750  12 Sc 3.58-3.71, 3 Ho 3.92

5.
A plane-wave DFT calculation with GGA-PBE was carried out for a relaxed YSc3B crystal.

Values from the calculation:
Crystal system = cubic
VASP energy = -4.55 eV/atom
Energy of formation = 1.88 eV/atom

Cell lengths 5.1222, 5.1222, 5.1222 Å; angles 90.00, 90.00, 90.00 degrees
With the nearest neighbours (Å) after each atom.
Atoms (fractional coordinates):
Y 0.0000 0.0000 0.0000  6 Sc 2.56
Sc 0.0000 0.0000 0.5000  2 Y 2.56
Sc 0.0000 0.5000 0.0000  2 Y 2.56
Sc 0.5000 0.0000 0.0000  2 Y 2.56
B 0.5000 0.5000 0.5000  12 Sc 3.62

6.
A plane-wave DFT calculation with GGA-PBE was carried out for a relaxed Mg4AgPdPt2 crystal.

Values from the calculation:
Crystal system = trigonal
VASP energy = -4.01 eV/atom
Energy of formation = -0.69 eV/atom

Cell lengths 4.5453, 4.5453, 7.8405 Å; angles 73.15, 73.15, 60.00 degrees
With the nearest neighbours (Å) after each atom.
Atoms (fractional coordinates):
Mg 0.3775 0.3775 0.8676  1 Pd 2.72, 4 Pt 2.76-2.81, 3 Ag 2.80
Mg 0.1273 0.1273 0.6180  4 Pt 2.74-2.81, 3 Pd 2.77, 1 Ag 2.82
Mg 0.6225 0.6225 0.1324  1 Pd 2.72, 4 Pt 2.76-2.81, 3 Ag 2.80
Mg 0.8727 0.8727 0.3820  4 Pt 2.74-2.81, 3 Pd 2.77, 1 Ag 2.82
Pt 0.7491 0.7491 0.7527  8 Mg 2.74-2.81
Pt 0.2509 0.2509 0.2473  8 Mg 2.74-2.81
Ag 0.0000 0.0000 0.0000  8 Mg 2.80-2.82
Pd 0.5000 0.5000 0.5000  8 Mg 2.72-2.77